1.
Hf2Si2Ir | SCAN | PBEsol geometry

Calculated values
VASP energy ... -44.361 eV per atom
Magnetization ... 0.0 μB/f.u.
Calculated volume ... 159 Å³/cell
Space-group type ... P4/mbm, No. 127
DOS(E_F) ... 0.41 states/eV per atom

The structure in CIF format:
```
data_Hf2Si2Ir
_chemical_formula_sum 'Hf4 Si4 Ir2'
_symmetry_space_group_name_H-M 'P 1'
_symmetry_Int_Tables_number 1
_cell_length_a 4.128
_cell_length_b 6.206
_cell_length_c 6.206
_cell_angle_alpha 90.00
_cell_angle_beta 90.00
_cell_angle_gamma 90.00
loop_
_symmetry_equiv_pos_as_xyz
'x,y,z'
loop_
_atom_site_label
_atom_site_type_symbol
_atom_site_fract_x
_atom_site_fract_y
_atom_site_fract_z
Si1 Si 0.000 0.365 0.865
Si2 Si 0.000 0.865 0.635
Si3 Si 0.000 0.635 0.135
Si4 Si 0.000 0.135 0.365
Ir1 Ir 0.000 0.000 0.000
Ir2 Ir 0.000 0.500 0.500
Hf1 Hf 0.500 0.169 0.669
Hf2 Hf 0.500 0.669 0.831
Hf3 Hf 0.500 0.831 0.331
Hf4 Hf 0.500 0.331 0.169
```



2.
Sr2HfIr | SCAN | PBEsol geometry

Calculated values
Magnetization ... 0.2 μB/f.u.
Calculated formation energy ... 0.79 eV/atom
Calculated volume ... 100 Å³/cell
Space-group type ... Fm-3m, No. 225
DOS(E_F) ... 0.95 states/eV per atom

The structure in CIF format:
```
data_Sr2HfIr
_chemical_formula_sum 'Sr2 Hf1 Ir1'
_symmetry_space_group_name_H-M 'P 1'
_symmetry_Int_Tables_number 1
_cell_length_a 5.207
_cell_length_b 5.207
_cell_length_c 5.207
_cell_angle_alpha 60.00
_cell_angle_beta 60.00
_cell_angle_gamma 60.00
loop_
_symmetry_equiv_pos_as_xyz
'x,y,z'
loop_
_atom_site_label
_atom_site_type_symbol
_atom_site_fract_x
_atom_site_fract_y
_atom_site_fract_z
Sr1 Sr 0.250 0.250 0.250
Sr2 Sr 0.750 0.750 0.750
Ir1 Ir 0.500 0.500 0.500
Hf1 Hf 0.000 0.000 0.000
```



3.
HfTaIr2 | SCAN | PBEsol geometry

Calculated values
Magnetization ... 0.0 μB/f.u.
Calculated formation energy ... -0.68 eV/atom
Calculated volume ... 66 Å³/cell
Space-group type ... Fm-3m, No. 225
DOS(E_F) ... 1.09 states/eV per atom

The structure in CIF format:
```
data_HfTaIr2
_chemical_formula_sum 'Hf1 Ta1 Ir2'
_symmetry_space_group_name_H-M 'P 1'
_symmetry_Int_Tables_number 1
_cell_length_a 4.537
_cell_length_b 4.537
_cell_length_c 4.537
_cell_angle_alpha 60.00
_cell_angle_beta 60.00
_cell_angle_gamma 60.00
loop_
_symmetry_equiv_pos_as_xyz
'x,y,z'
loop_
_atom_site_label
_atom_site_type_symbol
_atom_site_fract_x
_atom_site_fract_y
_atom_site_fract_z
Ir1 Ir 0.250 0.250 0.250
Ir2 Ir 0.750 0.750 0.750
Hf1 Hf 0.000 0.000 0.000
Ta1 Ta 0.500 0.500 0.500
```



4.
Hf2TlIr | SCAN | PBEsol geometry

Calculated values
Magnetization ... 0.0 μB/f.u.
Calculated formation energy ... -0.32 eV/atom
Calculated volume ... 76 Å³/cell
Space-group type ... Fm-3m, No. 225
DOS(E_F) ... 0.57 states/eV per atom

The structure in CIF format:
```
data_Hf2TlIr
_chemical_formula_sum 'Hf2 Tl1 Ir1'
_symmetry_space_group_name_H-M 'P 1'
_symmetry_Int_Tables_number 1
_cell_length_a 4.761
_cell_length_b 4.761
_cell_length_c 4.761
_cell_angle_alpha 60.00
_cell_angle_beta 60.00
_cell_angle_gamma 60.00
loop_
_symmetry_equiv_pos_as_xyz
'x,y,z'
loop_
_atom_site_label
_atom_site_type_symbol
_atom_site_fract_x
_atom_site_fract_y
_atom_site_fract_z
Tl1 Tl 0.500 0.500 0.500
Ir1 Ir 0.000 0.000 0.000
Hf1 Hf 0.250 0.250 0.250
Hf2 Hf 0.750 0.750 0.750
```



5.
TmHfIr2 | SCAN | PBEsol geometry

Calculated values
Magnetization ... 0.0 μB/f.u.
Calculated formation energy ... -1.08 eV/atom
Calculated volume ... 71 Å³/cell
Space-group type ... Fm-3m, No. 225
DOS(E_F) ... 0.78 states/eV per atom

The structure in CIF format:
```
data_TmHfIr2
_chemical_formula_sum 'Tm1 Hf1 Ir2'
_symmetry_space_group_name_H-M 'P 1'
_symmetry_Int_Tables_number 1
_cell_length_a 4.641
_cell_length_b 4.641
_cell_length_c 4.641
_cell_angle_alpha 60.00
_cell_angle_beta 60.00
_cell_angle_gamma 60.00
loop_
_symmetry_equiv_pos_as_xyz
'x,y,z'
loop_
_atom_site_label
_atom_site_type_symbol
_atom_site_fract_x
_atom_site_fract_y
_atom_site_fract_z
Tm1 Tm 0.000 0.000 0.000
Hf1 Hf 0.500 0.500 0.500
Ir1 Ir 0.250 0.250 0.250
Ir2 Ir 0.750 0.750 0.750
```



6.
Y2HfIr2 | SCAN | PBEsol geometry

Calculated values
Magnetization ... 0.0 μB/f.u.
Calculated formation energy ... -0.90 eV/atom
Calculated volume ... 211 Å³/cell
Space-group type ... P4/mbm, No. 127
DOS(E_F) ... 0.55 states/eV per atom

The structure in CIF format:
```
data_Y2HfIr2
_chemical_formula_sum 'Y4 Hf2 Ir4'
_symmetry_space_group_name_H-M 'P 1'
_symmetry_Int_Tables_number 1
_cell_length_a 4.327
_cell_length_b 6.975
_cell_length_c 6.975
_cell_angle_alpha 90.00
_cell_angle_beta 90.00
_cell_angle_gamma 90.00
loop_
_symmetry_equiv_pos_as_xyz
'x,y,z'
loop_
_atom_site_label
_atom_site_type_symbol
_atom_site_fract_x
_atom_site_fract_y
_atom_site_fract_z
Y1 Y 0.500 0.172 0.672
Y2 Y 0.500 0.672 0.828
Y3 Y 0.500 0.828 0.328
Y4 Y 0.500 0.328 0.172
Ir1 Ir 0.000 0.363 0.863
Ir2 Ir 0.000 0.863 0.637
Ir3 Ir 0.000 0.637 0.137
Ir4 Ir 0.000 0.137 0.363
Hf1 Hf 0.000 0.000 0.000
Hf2 Hf 0.000 0.500 0.500
```



7.
YHf2Ir | SCAN | PBEsol geometry

Calculated values
Magnetization ... 0.0 μB/f.u.
Calculated formation energy ... -0.30 eV/atom
Calculated volume ... 76 Å³/cell
Space-group type ... Fm-3m, No. 225
DOS(E_F) ... 1.14 states/eV per atom

The structure in CIF format:
```
data_YHf2Ir
_chemical_formula_sum 'Y1 Hf2 Ir1'
_symmetry_space_group_name_H-M 'P 1'
_symmetry_Int_Tables_number 1
_cell_length_a 4.760
_cell_length_b 4.760
_cell_length_c 4.760
_cell_angle_alpha 60.00
_cell_angle_beta 60.00
_cell_angle_gamma 60.00
loop_
_symmetry_equiv_pos_as_xyz
'x,y,z'
loop_
_atom_site_label
_atom_site_type_symbol
_atom_site_fract_x
_atom_site_fract_y
_atom_site_fract_z
Y1 Y 0.000 0.000 0.000
Ir1 Ir 0.500 0.500 0.500
Hf1 Hf 0.250 0.250 0.250
Hf2 Hf 0.750 0.750 0.750
```



8.
HfZnIr3 | SCAN | PBEsol geometry

Calculated values
Energy above the most stable polymorph in this dataset ... 942 meV/atom
Magnetization ... 0.0 μB/f.u.
Calculated formation energy ... 1.62 eV/atom
Calculated volume ... 107 Å³/cell
Space-group type ... Pm-3m, No. 221
DOS(E_F) ... 0.95 states/eV per atom

The structure in CIF format:
```
data_HfZnIr3
_chemical_formula_sum 'Hf1 Zn1 Ir3'
_symmetry_space_group_name_H-M 'P 1'
_symmetry_Int_Tables_number 1
_cell_length_a 4.747
_cell_length_b 4.747
_cell_length_c 4.747
_cell_angle_alpha 90.00
_cell_angle_beta 90.00
_cell_angle_gamma 90.00
loop_
_symmetry_equiv_pos_as_xyz
'x,y,z'
loop_
_atom_site_label
_atom_site_type_symbol
_atom_site_fract_x
_atom_site_fract_y
_atom_site_fract_z
Zn1 Zn 0.500 0.500 0.500
Ir1 Ir 0.000 0.500 0.000
Ir2 Ir 0.000 0.000 0.500
Ir3 Ir 0.500 0.000 0.000
Hf1 Hf 0.000 0.000 0.000
```



9.
HfZnIr3 | SCAN | PBEsol geometry

Calculated values
Energy above the most stable polymorph in this dataset ... 0 meV/atom
Magnetization ... 0.0 μB/f.u.
Calculated formation energy ... 0.68 eV/atom
Calculated volume ... 87 Å³/cell
Space-group type ... Pm-3m, No. 221
DOS(E_F) ... 0.67 states/eV per atom

The structure in CIF format:
```
data_HfZnIr3
_chemical_formula_sum 'Hf1 Zn1 Ir3'
_symmetry_space_group_name_H-M 'P 1'
_symmetry_Int_Tables_number 1
_cell_length_a 4.424
_cell_length_b 4.424
_cell_length_c 4.424
_cell_angle_alpha 90.00
_cell_angle_beta 90.00
_cell_angle_gamma 90.00
loop_
_symmetry_equiv_pos_as_xyz
'x,y,z'
loop_
_atom_site_label
_atom_site_type_symbol
_atom_site_fract_x
_atom_site_fract_y
_atom_site_fract_z
Zn1 Zn 0.000 0.000 0.000
Ir1 Ir 0.000 0.500 0.000
Ir2 Ir 0.000 0.000 0.500
Ir3 Ir 0.500 0.000 0.000
Hf1 Hf 0.500 0.500 0.500
```



10.
HfZrIr3 | SCAN | PBEsol geometry

Calculated values
Magnetization ... 0.0 μB/f.u.
Calculated formation energy ... 0.84 eV/atom
Calculated volume ... 104 Å³/cell
Space-group type ... Pm-3m, No. 221
DOS(E_F) ... 0.90 states/eV per atom

The structure in CIF format:
```
data_HfZrIr3
_chemical_formula_sum 'Hf1 Zr1 Ir3'
_symmetry_space_group_name_H-M 'P 1'
_symmetry_Int_Tables_number 1
_cell_length_a 4.707
_cell_length_b 4.707
_cell_length_c 4.707
_cell_angle_alpha 90.00
_cell_angle_beta 90.00
_cell_angle_gamma 90.00
loop_
_symmetry_equiv_pos_as_xyz
'x,y,z'
loop_
_atom_site_label
_atom_site_type_symbol
_atom_site_fract_x
_atom_site_fract_y
_atom_site_fract_z
Ir1 Ir 0.000 0.500 0.000
Ir2 Ir 0.000 0.000 0.500
Ir3 Ir 0.500 0.000 0.000
Hf1 Hf 0.000 0.000 0.000
Zr1 Zr 0.500 0.500 0.500
```



11.
Hf2ZrIr | SCAN | PBEsol geometry

Calculated values
Magnetization ... 0.0 μB/f.u.
Calculated formation energy ... -0.49 eV/atom
Calculated volume ... 73 Å³/cell
Space-group type ... Fm-3m, No. 225
DOS(E_F) ... 1.10 states/eV per atom

The structure in CIF format:
```
data_Hf2ZrIr
_chemical_formula_sum 'Hf2 Zr1 Ir1'
_symmetry_space_group_name_H-M 'P 1'
_symmetry_Int_Tables_number 1
_cell_length_a 4.689
_cell_length_b 4.689
_cell_length_c 4.689
_cell_angle_alpha 60.00
_cell_angle_beta 60.00
_cell_angle_gamma 60.00
loop_
_symmetry_equiv_pos_as_xyz
'x,y,z'
loop_
_atom_site_label
_atom_site_type_symbol
_atom_site_fract_x
_atom_site_fract_y
_atom_site_fract_z
Ir1 Ir 0.500 0.500 0.500
Hf1 Hf 0.250 0.250 0.250
Hf2 Hf 0.750 0.750 0.750
Zr1 Zr 0.000 0.000 0.000
```



12.
KHfMg2 | SCAN | PBEsol geometry

Calculated values
Energy above the most stable polymorph in this dataset ... 0 meV/atom
Magnetization ... 0.0 μB/f.u.
Calculated formation energy ... 0.74 eV/atom
Calculated volume ... 107 Å³/cell
Space-group type ... Fm-3m, No. 225
DOS(E_F) ... 0.72 states/eV per atom

The structure in CIF format:
```
data_KHfMg2
_chemical_formula_sum 'K1 Hf1 Mg2'
_symmetry_space_group_name_H-M 'P 1'
_symmetry_Int_Tables_number 1
_cell_length_a 5.328
_cell_length_b 5.328
_cell_length_c 5.328
_cell_angle_alpha 60.00
_cell_angle_beta 60.00
_cell_angle_gamma 60.00
loop_
_symmetry_equiv_pos_as_xyz
'x,y,z'
loop_
_atom_site_label
_atom_site_type_symbol
_atom_site_fract_x
_atom_site_fract_y
_atom_site_fract_z
K1 K 0.000 0.000 0.000
Hf1 Hf 0.500 0.500 0.500
Mg1 Mg 0.250 0.250 0.250
Mg2 Mg 0.750 0.750 0.750
```



13.
KHfMg2 | SCAN | PBEsol geometry

Calculated values
Energy above the most stable polymorph in this dataset ... 275 meV/atom
Magnetization ... 1.5 μB/f.u.
Calculated formation energy ... 1.01 eV/atom
Calculated volume ... 235 Å³/cell
Space-group type ... I-42d, No. 122
DOS(E_F) ... 0.83 states/eV per atom

The structure in CIF format:
```
data_KHfMg2
_chemical_formula_sum 'K2 Hf2 Mg4'
_symmetry_space_group_name_H-M 'P 1'
_symmetry_Int_Tables_number 1
_cell_length_a 6.653
_cell_length_b 6.809
_cell_length_c 6.809
_cell_angle_alpha 76.19
_cell_angle_beta 60.75
_cell_angle_gamma 60.75
loop_
_symmetry_equiv_pos_as_xyz
'x,y,z'
loop_
_atom_site_label
_atom_site_type_symbol
_atom_site_fract_x
_atom_site_fract_y
_atom_site_fract_z
K1 K 0.250 0.500 0.500
K2 K 0.500 0.000 0.000
Hf1 Hf 0.750 0.500 0.500
Hf2 Hf 0.000 0.000 0.000
Mg1 Mg 0.105 0.020 0.520
Mg2 Mg 0.645 0.980 0.480
Mg3 Mg 0.375 0.520 0.980
Mg4 Mg 0.875 0.480 0.020
```



14.
KHfMo2 | SCAN | PBEsol geometry

Calculated values
Magnetization ... 0.0 μB/f.u.
Calculated formation energy ... 1.63 eV/atom
Calculated volume ... 77 Å³/cell
Space-group type ... Fm-3m, No. 225
DOS(E_F) ... 1.65 states/eV per atom

The structure in CIF format:
```
data_KHfMo2
_chemical_formula_sum 'K1 Hf1 Mo2'
_symmetry_space_group_name_H-M 'P 1'
_symmetry_Int_Tables_number 1
_cell_length_a 4.766
_cell_length_b 4.766
_cell_length_c 4.766
_cell_angle_alpha 60.00
_cell_angle_beta 60.00
_cell_angle_gamma 60.00
loop_
_symmetry_equiv_pos_as_xyz
'x,y,z'
loop_
_atom_site_label
_atom_site_type_symbol
_atom_site_fract_x
_atom_site_fract_y
_atom_site_fract_z
Mo1 Mo 0.250 0.250 0.250
Mo2 Mo 0.750 0.750 0.750
Hf1 Hf 0.500 0.500 0.500
K1 K 0.000 0.000 0.000
```



15.
K2HfN | SCAN | PBEsol geometry

Calculated values
VASP energy ... -22.077 eV per atom
Magnetization ... 0.4 μB/f.u.
Calculated volume ... 296 Å³/cell
Space-group type ... I-42d, No. 122
DOS(E_F) ... 0.68 states/eV per atom

The structure in CIF format:
```
data_K2HfN
_chemical_formula_sum 'K4 Hf2 N2'
_symmetry_space_group_name_H-M 'P 1'
_symmetry_Int_Tables_number 1
_cell_length_a 4.088
_cell_length_b 8.751
_cell_length_c 8.751
_cell_angle_alpha 86.87
_cell_angle_beta 76.49
_cell_angle_gamma 76.49
loop_
_symmetry_equiv_pos_as_xyz
'x,y,z'
loop_
_atom_site_label
_atom_site_type_symbol
_atom_site_fract_x
_atom_site_fract_y
_atom_site_fract_z
K1 K 0.875 0.824 0.676
K2 K 0.375 0.176 0.324
K3 K 0.449 0.676 0.176
K4 K 0.301 0.324 0.824
Hf1 Hf 0.000 0.000 0.000
Hf2 Hf 0.750 0.500 0.500
N1 N 0.500 0.000 0.000
N2 N 0.250 0.500 0.500
```